## CdTe2Os (PBE)

Data for an optimized crystal structure of CdTe2Os.

Results
The calculation puts the energy at -14.43 eV per formula unit.

Unit cell a=7.0567 b=7.0567 c=7.0567 alpha=90.00 beta=90.00 gamma=90.00
Space group F-43m (No. 216)
Asymmetric unit:
Cd1 0.0000 0.0000 0.0000 [4 per cell]
Te1 0.0000 0.0000 0.5000 [4 per cell]
Te2 0.2500 0.2500 0.2500 [4 per cell]
Os1 0.2500 0.2500 0.7500 [4 per cell]

=====

## ThCdOs (PBE)

Data for an optimized crystal structure of ThCdOs.

Results
Its calculated formation energy is 63 meV per atom.

Unit cell a=6.7059 b=6.7059 c=6.7059 alpha=90.00 beta=90.00 gamma=90.00
Space group F-43m (No. 216)
Asymmetric unit:
Th1 0.0000 0.0000 0.0000 [4 per cell]
Cd1 0.0000 0.0000 0.5000 [4 per cell]
Os1 0.2500 0.2500 0.7500 [4 per cell]

=====

## Tl2CdOs (PBE)

Data for an optimized crystal structure of Tl2CdOs.

Results
The calculation puts the energy at -13.08 eV per formula unit.

Unit cell a=7.0482 b=7.0482 c=7.0482 alpha=90.00 beta=90.00 gamma=90.00
Space group F-43m (No. 216)
Asymmetric unit:
Tl1 0.0000 0.0000 0.0000 [4 per cell]
Tl2 0.2500 0.2500 0.2500 [4 per cell]
Cd1 0.0000 0.0000 0.5000 [4 per cell]
Os1 0.2500 0.2500 0.7500 [4 per cell]

=====

## TlCdOs (PBE)

Data for an optimized crystal structure of TlCdOs.

Results
The calculation puts the energy at -10.74 eV per formula unit.

Unit cell a=6.4570 b=6.4570 c=6.4570 alpha=90.00 beta=90.00 gamma=90.00
Space group F-43m (No. 216)
Asymmetric unit:
Tl1 0.0000 0.0000 0.0000 [4 per cell]
Cd1 0.2500 0.2500 0.7500 [4 per cell]
Os1 0.2500 0.2500 0.2500 [4 per cell]

=====

## CdOsW (PBE)

Data for an optimized crystal structure of CdOsW.

Results
The polymorph energy (0 for the lowest one) is 203 meV/atom. Its calculated formation energy is 1037 meV per atom.

Unit cell a=6.1544 b=6.1544 c=6.1544 alpha=90.00 beta=90.00 gamma=90.00
Space group F-43m (No. 216)
Asymmetric unit:
Cd1 0.0000 0.0000 0.0000 [4 per cell]
Os1 0.0000 0.0000 0.5000 [4 per cell]
W1 0.2500 0.2500 0.2500 [4 per cell]

=====

## CdOsW (PBE)

Data for an optimized crystal structure of CdOsW.

Results
The polymorph energy (0 for the lowest one) is 0 meV/atom. Its calculated formation energy is 835 meV per atom.

Unit cell a=6.1471 b=6.1471 c=6.1471 alpha=90.00 beta=90.00 gamma=90.00
Space group F-43m (No. 216)
Asymmetric unit:
Cd1 0.0000 0.0000 0.0000 [4 per cell]
Os1 0.2500 0.2500 0.2500 [4 per cell]
W1 0.0000 0.0000 0.5000 [4 per cell]

=====

## CdOsW2 (PBE)

Data for an optimized crystal structure of CdOsW2.

Results
Its calculated formation energy is 606 meV per atom.

Unit cell a=6.3994 b=6.3994 c=6.3994 alpha=90.00 beta=90.00 gamma=90.00
Space group F-43m (No. 216)
Asymmetric unit:
Cd1 0.0000 0.0000 0.0000 [4 per cell]
Os1 0.2500 0.2500 0.7500 [4 per cell]
W1 0.0000 0.0000 0.5000 [4 per cell]
W2 0.2500 0.2500 0.2500 [4 per cell]

=====

## YCdOs2 (PBE)

Data for an optimized crystal structure of YCdOs2.

Results
Its calculated formation energy is 485 meV per atom.

Unit cell a=6.6430 b=6.6430 c=6.6430 alpha=90.00 beta=90.00 gamma=90.00
Space group F-43m (No. 216)
Asymmetric unit:
Y1 0.0000 0.0000 0.0000 [4 per cell]
Cd1 0.2500 0.2500 0.2500 [4 per cell]
Os1 0.0000 0.0000 0.5000 [4 per cell]
Os2 0.2500 0.2500 0.7500 [4 per cell]

=====

## ZnCdOs2 (PBE)

Data for an optimized crystal structure of ZnCdOs2.

Results
Its calculated formation energy is 580 meV per atom.

Unit cell a=6.2768 b=6.2768 c=6.2768 alpha=90.00 beta=90.00 gamma=90.00
Space group F-43m (No. 216)
Asymmetric unit:
Zn1 0.0000 0.0000 0.0000 [4 per cell]
Cd1 0.2500 0.2500 0.7500 [4 per cell]
Os1 0.0000 0.0000 0.5000 [4 per cell]
Os2 0.2500 0.2500 0.2500 [4 per cell]

=====

## Zn2CdOs (PBE)

Data for an optimized crystal structure of Zn2CdOs.

Results
Its calculated formation energy is 428 meV per atom.

Unit cell a=6.3061 b=6.3061 c=6.3061 alpha=90.00 beta=90.00 gamma=90.00
Space group F-43m (No. 216)
Asymmetric unit:
Zn1 0.0000 0.0000 0.0000 [4 per cell]
Zn2 0.2500 0.2500 0.2500 [4 per cell]
Cd1 0.2500 0.2500 0.7500 [4 per cell]
Os1 0.0000 0.0000 0.5000 [4 per cell]

=====

## Cd5P (PBE)

Data for an optimized crystal structure of Cd5P.

Results
The calculation puts the energy at -9.02 eV per formula unit.

Unit cell a=6.9057 b=11.4142 c=7.6496 alpha=90.00 beta=90.00 gamma=90.00
Space group Cmcm (No. 63)
Asymmetric unit:
Cd1 0.0000 0.1275 0.0279 [8 per cell]
Cd2 0.0000 0.3146 0.7500 [4 per cell]
Cd3 0.2361 0.4672 0.2500 [8 per cell]
P1 0.0000 0.2926 0.2500 [4 per cell]

=====

## Cd3P11 (PBE)

Data for an optimized crystal structure of Cd3P11.

Results
The calculation puts the energy at -61.52 eV per formula unit.

Unit cell a=13.6983 b=7.5359 c=6.5858 alpha=90.00 beta=118.02 gamma=90.00
Space group Cm (No. 8)
Asymmetric unit:
Cd1 0.0000 0.0000 0.0000 [2 per cell]
Cd2 0.1096 0.5000 0.8322 [2 per cell]
Cd3 0.3141 0.0000 0.0530 [2 per cell]
P1 0.0060 0.5000 0.0768 [2 per cell]
P2 0.0483 0.2382 0.5361 [4 per cell]
P3 0.1022 0.2653 0.2700 [4 per cell]
P4 0.1109 0.0000 0.7466 [2 per cell]
P5 0.3213 0.5000 0.1137 [2 per cell]
P6 0.3228 0.3548 0.6309 [4 per cell]
P7 0.3616 0.2786 0.3536 [4 per cell]

=====

## Cd2SiP4Pb (PBE)

Data for an optimized crystal structure of Cd2SiP4Pb.

Results
The calculation puts the energy at -32.97 eV per formula unit.

Unit cell a=5.8741 b=5.8741 c=11.2926 alpha=90.00 beta=90.00 gamma=90.00
Space group I-4 (No. 82)
Asymmetric unit:
Cd1 0.0000 0.0000 0.0000 [2 per cell]
Cd2 0.0000 0.5000 0.2500 [2 per cell]
Si1 0.0000 0.5000 0.7500 [2 per cell]
P1 0.2210 0.7304 0.8625 [8 per cell]
Pb1 0.0000 0.0000 0.5000 [2 per cell]

=====

## Zr4CdP2Pb (PBE)

Data for an optimized crystal structure of Zr4CdP2Pb.

Results
The calculation puts the energy at -55.95 eV per formula unit.

Unit cell a=3.6476 b=3.6476 c=15.0886 alpha=90.00 beta=90.00 gamma=120.00
Space group P-6m2 (No. 187)
Asymmetric unit:
Zr1 0.0000 0.0000 0.1531 [2 per cell]
Zr2 0.3333 0.6667 0.3441 [2 per cell]
Cd1 0.3333 0.6667 0.0000 [1 per cell]
P1 0.6667 0.3333 0.2476 [2 per cell]
Pb1 0.0000 0.0000 0.5000 [1 per cell]

=====

## CdPPd5 (PBE)

Data for an optimized crystal structure of CdPPd5.

Results
The calculation puts the energy at -35.41 eV per formula unit.

Unit cell a=3.9770 b=3.9770 c=7.0588 alpha=90.00 beta=90.00 gamma=90.00
Space group P4/mmm (No. 123)
Asymmetric unit:
Cd1 0.0000 0.0000 0.0000 [1 per cell]
P1 0.5000 0.5000 0.5000 [1 per cell]
Pd1 0.0000 0.5000 0.3010 [4 per cell]
Pd2 0.5000 0.5000 0.0000 [1 per cell]

=====

## Cd2SiP4Pd (PBE)

Data for an optimized crystal structure of Cd2SiP4Pd.

Results
The calculation puts the energy at -34.29 eV per formula unit.

Unit cell a=5.5654 b=5.5654 c=11.3927 alpha=90.00 beta=90.00 gamma=90.00
Space group I-4 (No. 82)
Asymmetric unit:
Cd1 0.0000 0.0000 0.0000 [2 per cell]
Cd2 0.0000 0.5000 0.2500 [2 per cell]
Si1 0.0000 0.5000 0.7500 [2 per cell]
P1 0.2047 0.2509 0.6294 [8 per cell]
Pd1 0.0000 0.0000 0.5000 [2 per cell]

=====

## Pr3CdP (PBE)

Data for an optimized crystal structure of Pr3CdP.

Results
The calculation puts the energy at -23.18 eV per formula unit.

Unit cell a=5.5318 b=5.5318 c=5.5318 alpha=90.00 beta=90.00 gamma=90.00
Space group Pm-3m (No. 221)
Asymmetric unit:
Pr1 0.0000 0.0000 0.5000 [3 per cell]
Cd1 0.5000 0.5000 0.5000 [1 per cell]
P1 0.0000 0.0000 0.0000 [1 per cell]

=====

## CdPPt5 (PBE)

Data for an optimized crystal structure of CdPPt5.

Results
The calculation puts the energy at -39.03 eV per formula unit.

Unit cell a=3.9760 b=3.9760 c=7.1363 alpha=90.00 beta=90.00 gamma=90.00
Space group P4/mmm (No. 123)
Asymmetric unit:
Cd1 0.0000 0.0000 0.0000 [1 per cell]
P1 0.5000 0.5000 0.5000 [1 per cell]
Pt1 0.0000 0.5000 0.2990 [4 per cell]
Pt2 0.5000 0.5000 0.0000 [1 per cell]

=====

## CdP2Pt (PBE)

Data for an optimized crystal structure of CdP2Pt.

Results
The calculation puts the energy at -17.96 eV per formula unit.

Unit cell a=5.8359 b=5.8359 c=10.4910 alpha=90.00 beta=90.00 gamma=90.00
Space group I-42d (No. 122)
Asymmetric unit:
Cd1 0.0000 0.0000 0.0000 [4 per cell]
P1 0.2036 0.7500 0.6250 [8 per cell]
Pt1 0.0000 0.0000 0.5000 [4 per cell]

=====

## PuCd2SiP4 (PBE)

Data for an optimized crystal structure of PuCd2SiP4.

Results
The calculation puts the energy at -44.04 eV per formula unit.

Unit cell a=5.6705 b=5.6705 c=12.3308 alpha=90.00 beta=90.00 gamma=90.00
Space group I-4 (No. 82)
Asymmetric unit:
Pu1 0.0000 0.0000 0.0000 [2 per cell]
Cd1 0.0000 0.0000 0.5000 [2 per cell]
Cd2 0.0000 0.5000 0.7500 [2 per cell]
Si1 0.0000 0.5000 0.2500 [2 per cell]
P1 0.2160 0.7304 0.3603 [8 per cell]

=====

Number 1: ρ 10.544 g/cm3. Number 2: ρ 11.777 g/cm3. Number 3: ρ 13.496 g/cm3. Number 4: ρ 12.509 g/cm3. Number 5: ρ 13.862 g/cm3. Number 6: ρ 13.911 g/cm3. Number 7: ρ 16.989 g/cm3. Number 8: ρ 13.182 g/cm3. Number 9: ρ 14.995 g/cm3. Number 10: ρ 11.481 g/cm3. Number 11: ρ 6.533 g/cm3. Number 12: ρ 3.752 g/cm3. Number 13: ρ 4.978 g/cm3. Number 14: ρ 7.129 g/cm3. Number 15: ρ 10.047 g/cm3. Number 16: ρ 4.548 g/cm3. Number 17: ρ 5.553 g/cm3. Number 18: ρ 16.468 g/cm3. Number 19: ρ 6.868 g/cm3. Number 20: ρ 5.200 g/cm3.